VASP calculation (PBE-GGA) on Ac4NiRhCl2 after structural relaxation.

The space group is P2/m (No. 10) and the conventional cell measures 7.493, 4.294 and 8.384 Å, with angles of 90.00, 107.68 and 90.00 degrees. The inequivalent atoms are Ac at (0.232, 0.000, 0.199), Ac at (0.264, 0.500, 0.798), Ni at (0.000, 0.500, 0.000), Rh at (0.500, 0.000, 0.000), Cl at (0.000, 0.000, 0.500) and Cl at (0.500, 0.500, 0.500).

For the calculated density, the calculation gives 7.37 g/cm3. The value obtained for the total moment is 0.00 Bohr magnetons per cell. The value obtained for the uncorrected formation energy is -1.10 eV per atom.